Record 1
VASP calculation (PBE) on an optimized crystal structure of Sc2IrS.

abc: 8.3507 8.3507 8.3507
angles: 22.82 22.82 22.82
Sites, in units of the cell vectors:
S 0.5000 0.5000 0.5000
Ir 0.0000 0.0000 0.0000
Sc 0.8999 0.8999 0.8999
Sc 0.1001 0.1001 0.1001

Properties
VASP energy in eV per formula unit: -27.92
ΔE_f (raw) in eV/atom: -0.566

=====

Record 2
VASP calculation (PBE) on an optimized crystal structure of Ba2CaInAg6.

abc: 7.7996 7.7996 7.7996
angles: 60.00 60.00 90.00
Sites, in units of the cell vectors:
In 0.0000 0.0000 0.0000
Ag 0.2430 0.7570 0.0000
Ag 0.2430 0.2430 0.5140
Ag 0.7570 0.7570 0.4860
Ba 0.2500 0.7500 0.5000
Ag 0.2430 0.2430 0.0000
Ca 0.5000 0.5000 0.0000
Ag 0.7570 0.2430 0.0000
Ba 0.7500 0.2500 0.5000
Ag 0.7570 0.7570 0.0000

Properties
VASP energy in eV per formula unit: -24.66
ΔE_f in eV per atom: 0.10

=====

Record 3
VASP calculation (PBE) on an optimized crystal structure of ScCdRh3.

abc: 4.6543 4.6543 4.6543
angles: 90.00 90.00 90.00
Site moments in Bohr magnetons follow the coordinates.
Sites, in units of the cell vectors:
Sc 0.0000 0.0000 0.0000  -0.03
Rh 0.0000 0.5000 0.0000  0.27
Rh 0.5000 0.0000 0.0000  0.17
Rh 0.0000 0.0000 0.5000  0.26
Cd 0.5000 0.5000 0.5000  0.00

Properties
Polymorph energy (0 for the lowest one) in eV per formula unit: 0.00
VASP energy in eV per formula unit: -26.38
ΔE_f in eV per atom: 0.58

=====

Record 4
VASP calculation (PBE) on an optimized crystal structure of MgPdPb2.

abc: 4.5113 4.5113 10.3516
angles: 77.41 77.41 90.00
Sites, in units of the cell vectors:
Pb 0.8750 0.8855 0.7500
Pd 0.7500 0.2500 0.5000
Pd 0.0000 0.0000 0.0000
Pb 0.3750 0.3645 0.7500
Pb 0.6355 0.1250 0.2500
Mg 0.5000 0.5000 0.0000
Pb 0.1145 0.6250 0.2500
Mg 0.2500 0.7500 0.5000

Properties
VASP energy in eV per formula unit: -14.14
ΔE_f in eV per atom: 0.02

=====

no.,volume (Å³/f.u.)
1,77
2,336
3,101
4,100